Crystalline NpGa4Au2 at its relaxed geometry. Source: Alexandria, functional PBE-GGA.

Results
SG: Pnma, No. 62
Theoretical density: 11.27 g/cm3
DFT total energy: -0.3498 Ry/atom
Magnetization: 16.27 Bohr magnetons per cell
ΔE_f: -0.25 eV/atom

a = 17.3943 Å, b = 4.4773 Å, c = 6.8842 Å
α = 90.00°, β = 90.00°, γ = 90.00°
Last column: nearest neighbours and their distance in Å.
Fractional coordinates of all 28 atoms:
Np 0.1394 0.2500 0.0138  10 Ga 3.05-3.38, 4 Au 3.31-3.39
Np 0.3606 0.7500 0.5138  10 Ga 3.05-3.38, 4 Au 3.31-3.39
Np 0.6394 0.2500 0.4862  10 Ga 3.05-3.38, 4 Au 3.31-3.39
Np 0.8606 0.7500 0.9862  10 Ga 3.05-3.38, 4 Au 3.31-3.39
Ga 0.0397 0.7500 0.8480  3 Au 2.64-2.71, 2 Ga 2.70-2.84
Ga 0.0652 0.2500 0.4678  4 Au 2.62-2.78, 1 Ga 2.84
Ga 0.1838 0.7500 0.3179  4 Au 2.68-2.71, 1 Ga 2.82
Ga 0.1874 0.7500 0.7273  3 Au 2.67-2.68, 2 Ga 2.70-2.82
Ga 0.3126 0.2500 0.2273  3 Au 2.67-2.68, 2 Ga 2.70-2.82
Ga 0.3162 0.2500 0.8179  4 Au 2.68-2.71, 1 Ga 2.82
Ga 0.4348 0.7500 0.9678  4 Au 2.62-2.78, 1 Ga 2.84
Ga 0.4603 0.2500 0.3480  3 Au 2.64-2.71, 2 Ga 2.70-2.84
Ga 0.5397 0.7500 0.6520  3 Au 2.64-2.71, 2 Ga 2.70-2.84
Ga 0.5652 0.2500 0.0322  4 Au 2.62-2.78, 1 Ga 2.84
Ga 0.6838 0.7500 0.1821  4 Au 2.68-2.71, 1 Ga 2.82
Ga 0.6874 0.7500 0.7727  3 Au 2.67-2.68, 2 Ga 2.70-2.82
Ga 0.8126 0.2500 0.2727  3 Au 2.67-2.68, 2 Ga 2.70-2.82
Ga 0.8162 0.2500 0.6821  4 Au 2.68-2.71, 1 Ga 2.82
Ga 0.9348 0.7500 0.5322  4 Au 2.62-2.78, 1 Ga 2.84
Ga 0.9603 0.2500 0.1520  3 Au 2.64-2.71, 2 Ga 2.70-2.84
Au 0.0323 0.7500 0.2419  7 Ga 2.62-2.78
Au 0.2141 0.2500 0.5272  7 Ga 2.62-2.71
Au 0.2859 0.7500 0.0272  7 Ga 2.62-2.71
Au 0.4677 0.2500 0.7419  7 Ga 2.62-2.78
Au 0.5323 0.7500 0.2581  7 Ga 2.62-2.78
Au 0.7141 0.2500 0.9728  7 Ga 2.62-2.71
Au 0.7859 0.7500 0.4728  7 Ga 2.62-2.71
Au 0.9677 0.2500 0.7581  7 Ga 2.62-2.78